Entry from Alexandria via LeMat-Bulk: an optimized crystal structure of YSeCl2 (GGA-PBE).

abc: 7.7162 7.7162 5.1242
angles: 109.19 109.19 26.81
Fractional positions:
Y  0.0000  0.0000  0.0000
Se  0.5000  0.5000  0.5000
Cl  0.3560  0.3560  0.8562
Cl  0.6440  0.6440  0.1438

Output
uncorrected formation energy	-5.97	eV per formula unit
magnetization	0.2086	μB/atom
excess energy over the best structure of this formula in the dataset	107	meV/atom
V	129	Å³/cell